(1)
# YEr2Al3Cu2Ni (GGA-PBE, optimized geometry)
# DFT total energy (eV per formula unit): -44.5
data_YEr2Al3Cu2Ni
_chemical_formula_sum 'Y2 Er4 Al6 Cu4 Ni2'
_cell_length_a 3.926
_cell_length_b 12.130
_cell_length_c 6.988
_cell_angle_alpha 90.00
_cell_angle_beta 90.00
_cell_angle_gamma 90.00
_space_group_name_H-M_alt 'A m m 2'
_space_group_IT_number 38
loop_
_space_group_symop_operation_xyz
'x,y,z'
'-x,-y,z'
'-x,y,z'
'x,-y,z'
'x,y+1/2,z+1/2'
'-x,-y+1/2,z+1/2'
'-x,y+1/2,z+1/2'
'x,-y+1/2,z+1/2'
loop_
_atom_site_label
_atom_site_type_symbol
_atom_site_fract_x
_atom_site_fract_y
_atom_site_fract_z
Y1 Y 0.000 0.000 0.000
Er1 Er 0.000 0.206 0.382
Al1 Al 0.500 0.000 0.356
Al2 Al 0.500 0.116 0.703
Cu1 Cu 0.500 0.168 0.088
Ni1 Ni 0.000 0.000 0.585

=====

(2)
# Y2ErAl3Cu2Ni (GGA-PBE, optimized geometry)
# DFT total energy (eV per formula unit): -46.4
data_Y2ErAl3Cu2Ni
_chemical_formula_sum 'Y4 Er2 Al6 Cu4 Ni2'
_cell_length_a 4.000
_cell_length_b 12.087
_cell_length_c 6.968
_cell_angle_alpha 90.00
_cell_angle_beta 90.00
_cell_angle_gamma 90.00
_space_group_name_H-M_alt 'A m m 2'
_space_group_IT_number 38
loop_
_space_group_symop_operation_xyz
'x,y,z'
'-x,-y,z'
'-x,y,z'
'x,-y,z'
'x,y+1/2,z+1/2'
'-x,-y+1/2,z+1/2'
'-x,y+1/2,z+1/2'
'x,-y+1/2,z+1/2'
loop_
_atom_site_label
_atom_site_type_symbol
_atom_site_fract_x
_atom_site_fract_y
_atom_site_fract_z
Y1 Y 0.000 0.206 0.000
Er1 Er 0.000 0.000 0.385
Al1 Al 0.500 0.000 0.025
Al2 Al 0.500 0.115 0.679
Cu1 Cu 0.500 0.164 0.295
Ni1 Ni 0.000 0.000 0.790

=====

(3)
# Er2ZrAl3Cu2Ni (GGA-PBE, optimized geometry)
# DFT total energy (eV per formula unit): -46.5
data_Er2ZrAl3Cu2Ni
_chemical_formula_sum 'Er4 Zr2 Al6 Cu4 Ni2'
_cell_length_a 3.901
_cell_length_b 11.994
_cell_length_c 6.837
_cell_angle_alpha 90.00
_cell_angle_beta 90.00
_cell_angle_gamma 90.00
_space_group_name_H-M_alt 'A m m 2'
_space_group_IT_number 38
loop_
_space_group_symop_operation_xyz
'x,y,z'
'-x,-y,z'
'-x,y,z'
'x,-y,z'
'x,y+1/2,z+1/2'
'-x,-y+1/2,z+1/2'
'-x,y+1/2,z+1/2'
'x,-y+1/2,z+1/2'
loop_
_atom_site_label
_atom_site_type_symbol
_atom_site_fract_x
_atom_site_fract_y
_atom_site_fract_z
Er1 Er 0.000 0.205 0.000
Zr1 Zr 0.000 0.000 0.388
Al1 Al 0.500 0.000 0.037
Al2 Al 0.500 0.115 0.672
Cu1 Cu 0.500 0.162 0.297
Ni1 Ni 0.000 0.000 0.790

=====

(4)
# YEr2Al3Cu2Pd (GGA-PBE, optimized geometry)
# DFT total energy (eV per formula unit): -44.7
data_YEr2Al3Cu2Pd
_chemical_formula_sum 'Y2 Er4 Al6 Cu4 Pd2'
_cell_length_a 4.022
_cell_length_b 12.202
_cell_length_c 7.034
_cell_angle_alpha 90.00
_cell_angle_beta 90.00
_cell_angle_gamma 90.00
_space_group_name_H-M_alt 'A m m 2'
_space_group_IT_number 38
loop_
_space_group_symop_operation_xyz
'x,y,z'
'-x,-y,z'
'-x,y,z'
'x,-y,z'
'x,y+1/2,z+1/2'
'-x,-y+1/2,z+1/2'
'-x,y+1/2,z+1/2'
'x,-y+1/2,z+1/2'
loop_
_atom_site_label
_atom_site_type_symbol
_atom_site_fract_x
_atom_site_fract_y
_atom_site_fract_z
Y1 Y 0.000 0.000 0.000
Er1 Er 0.000 0.209 0.372
Al1 Al 0.500 0.000 0.340
Al2 Al 0.500 0.121 0.701
Cu1 Cu 0.500 0.169 0.082
Pd1 Pd 0.000 0.000 0.578

=====

(5)
# PrEr2Al7Cu2 (GGA-PBE, optimized geometry)
# DFT total energy (eV per formula unit): -53.5
data_PrEr2Al7Cu2
_chemical_formula_sum 'Pr3 Er6 Al21 Cu6'
_cell_length_a 5.5009
_cell_length_b 5.5009
_cell_length_c 25.5280
_cell_angle_alpha 90.00
_cell_angle_beta 90.00
_cell_angle_gamma 120.00
_space_group_name_H-M_alt 'R -3 m'
_space_group_IT_number 166
_space_group_name_Hall '-R 3 2"'
loop_
_atom_site_label
_atom_site_type_symbol
_atom_site_fract_x
_atom_site_fract_y
_atom_site_fract_z
Pr1 Pr 0.0000 0.0000 0.0000
Er1 Er 0.0000 0.0000 0.1421
Al1 Al 0.0000 0.0000 0.5000
Al2 Al 0.0063 0.5031 0.9202
Cu1 Cu 0.0000 0.0000 0.3353

=====

(6)
# Er3Al3Cu2Si (GGA-PBE, optimized geometry)
# DFT total energy (eV per formula unit): -41.7
data_Er3Al3Cu2Si
_chemical_formula_sum 'Er3 Al3 Cu2 Si1'
_cell_length_a 7.1663
_cell_length_b 7.1663
_cell_length_c 3.8405
_cell_angle_alpha 90.00
_cell_angle_beta 90.00
_cell_angle_gamma 120.00
_space_group_name_H-M_alt 'P -6 2 m'
_space_group_IT_number 189
_space_group_name_Hall 'P -6 -2'
loop_
_atom_site_label
_atom_site_type_symbol
_atom_site_fract_x
_atom_site_fract_y
_atom_site_fract_z
Er1 Er 0.0000 0.3994 0.0000
Al1 Al 0.0000 0.7461 0.5000
Cu1 Cu 0.3333 0.6667 0.5000
Si1 Si 0.0000 0.0000 0.0000

=====

(7)
# Tb2ErAl3CuSi2 (GGA-PBE, optimized geometry)
# DFT total energy (eV per formula unit): -45.3
data_Tb2ErAl3CuSi2
_chemical_formula_sum 'Tb4 Er2 Al6 Cu2 Si4'
_cell_length_a 4.176
_cell_length_b 11.970
_cell_length_c 6.923
_cell_angle_alpha 90.00
_cell_angle_beta 90.00
_cell_angle_gamma 90.00
_space_group_name_H-M_alt 'A m m 2'
_space_group_IT_number 38
loop_
_space_group_symop_operation_xyz
'x,y,z'
'-x,-y,z'
'-x,y,z'
'x,-y,z'
'x,y+1/2,z+1/2'
'-x,-y+1/2,z+1/2'
'-x,y+1/2,z+1/2'
'x,-y+1/2,z+1/2'
loop_
_atom_site_label
_atom_site_type_symbol
_atom_site_fract_x
_atom_site_fract_y
_atom_site_fract_z
Tb1 Tb 0.000 0.203 0.000
Er1 Er 0.000 0.000 0.609
Al1 Al 0.500 0.000 0.966
Al2 Al 0.500 0.118 0.323
Cu1 Cu 0.000 0.000 0.206
Si1 Si 0.500 0.165 0.703

=====

(8)
# YEr2Al3CuSi2 (GGA-PBE, optimized geometry)
# DFT total energy (eV per formula unit): -47.1
data_YEr2Al3CuSi2
_chemical_formula_sum 'Y2 Er4 Al6 Cu2 Si4'
_cell_length_a 4.153
_cell_length_b 11.947
_cell_length_c 6.886
_cell_angle_alpha 90.00
_cell_angle_beta 90.00
_cell_angle_gamma 90.00
_space_group_name_H-M_alt 'A m m 2'
_space_group_IT_number 38
loop_
_space_group_symop_operation_xyz
'x,y,z'
'-x,-y,z'
'-x,y,z'
'x,-y,z'
'x,y+1/2,z+1/2'
'-x,-y+1/2,z+1/2'
'-x,y+1/2,z+1/2'
'x,-y+1/2,z+1/2'
loop_
_atom_site_label
_atom_site_type_symbol
_atom_site_fract_x
_atom_site_fract_y
_atom_site_fract_z
Y1 Y 0.000 0.000 0.000
Er1 Er 0.000 0.203 0.390
Al1 Al 0.500 0.000 0.356
Al2 Al 0.500 0.119 0.712
Cu1 Cu 0.000 0.000 0.590
Si1 Si 0.500 0.168 0.094